Entry 1:
Computed, not measured: an optimized crystal structure of ThIn3Rh3 at the PBE level of DFT.

For the total magnetic moment, the calculation gives 0.0 μB per cell. The formation energy is -0.514 eV per atom. Its theoretical density is 10102 kg/m³. The total energy is -123.9 eV/cell. The crystal system is trigonal.

The structure belongs to space group R3m (No. 160, hexagonal axes); the cell edges are 8.8001, 8.8001 and 6.5091 Å and the angles 90.00°, 90.00° and 120.00°. The asymmetric unit holds Th at (0.0000, 0.0000, 0.0000), In at (0.2036, 0.4073, 0.2239) and Rh at (0.0037, 0.5019, 0.4774).



Entry 2:
Computed, not measured: an optimized crystal structure of Li2NdSm2Bi2 at the PBE level of DFT.

For the total magnetic moment, the calculation gives 0.6 μB per cell. The formation energy is -0.444 eV per atom. Its theoretical density is 7588 kg/m³. The total energy is -86.7 eV/cell. The crystal system is trigonal.

The structure belongs to space group R-3m (No. 166, hexagonal axes); the cell edges are 4.9164, 4.9164 and 27.4993 Å and the angles 90.00°, 90.00° and 120.00°. The asymmetric unit holds Li at (0.0000, 0.0000, 0.0898), Nd at (0.0000, 0.0000, 0.5000), Sm at (0.0000, 0.0000, 0.3691) and Bi at (0.0000, 0.0000, 0.2359).



Entry 3:
Computed, not measured: an optimized crystal structure of ZnHg2Ru at the PBE level of DFT.

For the total magnetic moment, the calculation gives 1.3 μB per cell. The formation energy is 0.381 eV per atom. Its theoretical density is 13134 kg/m³. The total energy is -19.3 eV/cell. The crystal system is tetragonal.

The structure belongs to space group I-4m2 (No. 119); the cell edges are 4.031, 4.031 and 8.836 Å and the angles 90.00°, 90.00° and 90.00°. The asymmetric unit holds Zn at (0.000, 0.000, 0.000), Hg at (0.000, 0.000, 0.500), Hg at (0.000, 0.500, 0.750) and Ru at (0.000, 0.500, 0.250).



Entry 4:
Computed, not measured: an optimized crystal structure of BeTl3Tc at the PBE level of DFT.

For the total magnetic moment, the calculation gives 0.0 μB per cell. The energy above the most stable polymorph in this dataset comes out at 0.0000 eV/atom. The formation energy is 0.997 eV per atom. Its theoretical density is 7859 kg/m³. The total energy is -16.2 eV/cell. The crystal system is cubic.

The structure belongs to space group Pm-3m (No. 221); the cell edges are 5.339, 5.339 and 5.339 Å and the angles 90.00°, 90.00° and 90.00°. The asymmetric unit holds Be at (0.000, 0.000, 0.000), Tl at (0.000, 0.500, 0.500) and Tc at (0.500, 0.500, 0.500).



Entry 5:
Computed, not measured: an optimized crystal structure of Na2PrThS4 at the PBE level of DFT.

For the total magnetic moment, the calculation gives 0.0 μB per cell. Its theoretical density is 4623 kg/m³. The total energy is -45.0 eV/cell. The calculation puts the formation energy from raw total energies at -13.63 eV/f.u. The crystal system is monoclinic.

The structure belongs to space group P2/m (No. 10); the cell edges are 7.086, 4.097 and 7.165 Å and the angles 90.00°, 109.14° and 90.00°. The asymmetric unit holds Na at (0.000, 0.000, 0.000), Na at (0.500, 0.500, 0.000), Pr at (0.000, 0.500, 0.500), Th at (0.500, 0.000, 0.500), S at (0.254, 0.000, 0.740) and S at (0.261, 0.500, 0.262).



Entry 6:
Computed, not measured: an optimized crystal structure of Lu2ZnGe at the PBE level of DFT.

For the total magnetic moment, the calculation gives 0.0 μB per cell. The formation energy is -0.504 eV per atom. Its theoretical density is 9588 kg/m³. The total energy is -16.9 eV/cell. The crystal system is tetragonal.

The structure belongs to space group P4/mmm (No. 123); the cell edges are 4.824, 4.824 and 3.633 Å and the angles 90.00°, 90.00° and 90.00°. The asymmetric unit holds Lu at (0.000, 0.500, 0.000), Zn at (0.000, 0.000, 0.500) and Ge at (0.500, 0.500, 0.500).